Below is Al2In3Br8 after structural relaxation, with properties calculated at the PBE level.

Computed properties:
As for the formation energy from raw total energies: -0.84 eV per atom. The final energy is -40.017 eV/cell.

abc: 9.7414 9.7414 6.7638
angles: 109.56 109.56 53.01
Last column: nearest neighbours and their distance in Å.
Atoms (fractional coordinates):
Al 0.1721 0.1721 0.2319  4 Br 2.33-2.35
Al 0.8279 0.8279 0.7681  4 Br 2.33-2.35
In 0.3142 0.6858 0.5000  1 In 3.23, 6 Br 3.32-3.53
In 0.5000 0.5000 0.0000  4 Br 3.35, 4 In 3.75
In 0.6858 0.3142 0.5000  1 In 3.23, 6 Br 3.32-3.53
Br 0.0852 0.6434 0.9773  1 Al 2.33
Br 0.1036 0.1036 0.4726  1 Al 2.35
Br 0.3139 0.3139 0.4343  1 Al 2.34
Br 0.3566 0.9148 0.0227  1 Al 2.33
Br 0.6434 0.0852 0.9773  1 Al 2.33
Br 0.6861 0.6861 0.5657  1 Al 2.34
Br 0.8964 0.8964 0.5274  1 Al 2.35
Br 0.9148 0.3566 0.0227  1 Al 2.33


Below is LiReBr2 after structural relaxation, with properties calculated at the PBE level.

Computed properties:
As for the formation energy from raw total energies: 0.48 eV per atom. The final energy is -15.798 eV/cell.

abc: 8.1406 8.1406 8.1406
angles: 22.87 22.87 22.87
Last column: nearest neighbours and their distance in Å.
Atoms (fractional coordinates):
Li 0.0000 0.0000 0.0000  6 Br 2.67
Re 0.5000 0.5000 0.5000  6 Br 2.77
Br 0.2531 0.2531 0.2531  3 Li 2.67, 3 Re 2.77
Br 0.7469 0.7469 0.7469  3 Li 2.67, 3 Re 2.77


Below is Tb2PmNi after structural relaxation, with properties calculated at the PBE level.

Computed properties:
The final energy is -20.440 eV/cell.

abc: 3.4594 3.4594 8.8488
angles: 90.00 90.00 90.00
Last column: nearest neighbours and their distance in Å.
Atoms (fractional coordinates):
Tb 0.0000 0.0000 0.1825  4 Ni 2.93, 1 Tb 3.23
Tb 0.0000 0.0000 0.8175  4 Ni 2.93, 1 Tb 3.23
Pm 0.5000 0.5000 0.5000  4 Pm 3.46, 8 Tb 3.73
Ni 0.5000 0.5000 0.0000  8 Tb 2.93


Below is Au3Br after structural relaxation, with properties calculated at the PBE level.

Computed properties:
As for the formation energy from raw total energies: 0.30 eV per atom. The final energy is -20.636 eV/cell.

abc: 6.1971 6.1971 4.6340
angles: 90.00 90.00 108.78
Last column: nearest neighbours and their distance in Å.
Atoms (fractional coordinates):
Au 0.1117 0.2737 0.7500  6 Au 2.78-3.04, 1 Br 3.07
Au 0.1875 0.8125 0.7500  8 Au 2.91-3.22, 2 Br 2.96
Au 0.2737 0.1117 0.2500  6 Au 2.78-3.04, 1 Br 3.07
Au 0.7263 0.8883 0.7500  6 Au 2.78-3.04, 1 Br 3.07
Au 0.8125 0.1875 0.2500  8 Au 2.91-3.22, 2 Br 2.96
Au 0.8883 0.7263 0.2500  6 Au 2.78-3.04, 1 Br 3.07
Br 0.3709 0.6291 0.2500  10 Au 2.96-3.24
Br 0.6291 0.3709 0.7500  10 Au 2.96-3.24